[1]
Pm2Zn3Ge4Au (PBE-GGA, optimized geometry); ΔH_f (0 K) = -0.42 eV/atom; magnetic moment = 0.00 μB per formula unit; SG = P-4m2, No. 115
1.0
-0.6968 3.8834 -1.8890
-2.6820 -1.8889 -2.8938
-8.0375 1.6557 6.3685
Ge Zn Pm Au
4 3 2 1
Cartesian
-4.2262 -0.3501 0.8392 Ge
-5.5008 3.0031 3.1380 Ge
0.0000 0.0000 0.0000 Ge
-1.6894 0.9973 -2.3914 Ge
-4.0188 0.8279 3.1843 Zn
-2.3658 -0.7333 -0.6349 Zn
-7.3611 3.3863 4.6120 Zn
-7.3932 0.3023 3.3486 Pm
-2.3337 2.3507 0.6285 Pm
-5.7082 1.8251 0.7929 Au

[2]
Pm2Zn3GeAu4 (PBE-GGA, optimized geometry); ΔH_f (0 K) = -0.51 eV/atom; magnetic moment = 0.00 μB per formula unit; SG = P-4m2, No. 115
1.0
-4.0954 -1.3707 0.5293
-0.3423 -0.6342 -4.2909
3.5672 -10.1865 1.2210
Zn Ge Au Pm
3 1 4 2
Cartesian
0.3030 -1.6710 -1.9832 Zn
1.7836 -5.0933 0.6105 Zn
1.0454 -9.5180 1.3234 Zn
-0.4352 -6.0957 -1.2703 Ge
0.2231 -7.1699 1.0419 Au
1.1253 -4.0192 -1.7017 Au
-2.2189 -1.0025 -1.8808 Au
0.0000 0.0000 0.0000 Au
-1.1372 -3.2853 0.5763 Pm
2.4856 -7.9037 -1.2361 Pm

[3]
PmZn2GeAu2 (PBE-GGA, optimized geometry); ΔH_f (0 K) = -0.15 eV/atom; magnetic moment = 0.00 μB per formula unit; SG = P4/mmm, No. 123
1.0
-4.2218 1.9625 0.7427
-1.1790 -3.5989 2.8080
2.1319 2.8600 4.5608
Pm Au Ge Zn
1 2 1 2
Cartesian
1.0659 1.4300 2.2804 Pm
-1.1333 1.2841 5.1278 Au
-2.1356 -0.0605 2.9836 Au
0.0000 0.0000 0.0000 Ge
-0.5895 -1.7995 1.4040 Zn
-2.1109 0.9813 0.3714 Zn

[4]
PmZn2GeAu (PBE-GGA, optimized geometry); ΔH_f (0 K) = -0.52 eV/atom; magnetic moment = 0.00 μB per formula unit; SG = Imm2, No. 44
1.0
4.2340 0.0000 0.0000
0.0000 4.2078 0.0000
-2.1170 -2.1039 5.4833
Zn Ge Au Pm
2 1 1 1
Cartesian
0.0000 0.0000 0.6196 Zn
2.1170 0.0000 2.0822 Zn
2.1170 2.1039 3.6779 Ge
0.0000 2.1039 2.1081 Au
0.0000 0.0000 4.8053 Pm

[5]
PmZnGeAu2 (PBE-GGA, optimized geometry); ΔH_f (0 K) = -0.53 eV/atom; magnetic moment = 0.00 μB per formula unit; SG = Imm2, No. 44
1.0
4.1889 0.0000 0.0000
0.0000 4.3003 0.0000
-2.0944 -2.1501 5.7301
Au Ge Pm Zn
2 1 1 1
Cartesian
2.0944 0.0000 2.4028 Au
0.0000 0.0000 0.5441 Au
2.0944 2.1501 3.7818 Ge
0.0000 0.0000 4.9994 Pm
0.0000 2.1501 2.1633 Zn

[6]
Pm2ZnGeAu6 (PBE-GGA, optimized geometry); ΔH_f (0 K) = -0.44 eV/atom; magnetic moment = 0.00 μB per formula unit; SG = P-1, No. 2
1.0
9.5663 0.0723 -0.0205
-0.0670 5.4480 -0.0460
4.7238 2.7556 4.0528
Zn Pm Au Ge
1 2 6 1
Cartesian
4.7497 2.7601 -0.0332 Zn
9.5779 2.7956 1.9119 Pm
4.6452 5.4802 2.0744 Pm
7.1627 6.8768 3.4825 Au
11.0871 5.5378 2.0026 Au
7.1603 4.1463 3.4889 Au
7.0628 4.1295 0.4975 Au
7.0605 1.3991 0.5039 Au
3.1360 2.7380 1.9837 Au
0.0000 0.0000 0.0000 Ge